A plane-wave DFT calculation with PBE-GGA was carried out for a geometry-optimized CsSbS2 structure.

The structure in CIF format:
```
data_CsSbS2
_chemical_formula_sum 'Cs2 Sb2 S4'
_cell_length_a 5.616
_cell_length_b 5.543
_cell_length_c 9.776
_cell_angle_alpha 90.14
_cell_angle_beta 85.43
_cell_angle_gamma 90.13
_space_group_name_H-M_alt 'P 1'
_space_group_IT_number 1
loop_
_space_group_symop_operation_xyz
'x,y,z'
loop_
_atom_site_label
_atom_site_type_symbol
_atom_site_fract_x
_atom_site_fract_y
_atom_site_fract_z
Cs1 Cs 0.497 0.124 0.166
Cs2 Cs 0.043 0.623 0.807
Sb1 Sb 0.982 0.653 0.407
Sb2 Sb 0.552 0.152 0.565
S1 S 0.561 0.123 0.807
S2 S 0.543 0.703 0.488
S3 S 0.990 0.203 0.483
S4 S 0.977 0.624 0.165
```

**Space group**: P1
**ΔE_f (raw)**: -703 meV/atom

A plane-wave DFT calculation with PBE-GGA was carried out for a geometry-optimized ZrTaCo10 structure.

The structure in CIF format:
```
data_ZrTaCo10
_chemical_formula_sum 'Zr1 Ta1 Co10'
_cell_length_a 3.975
_cell_length_b 4.696
_cell_length_c 8.129
_cell_angle_alpha 90.00
_cell_angle_beta 90.00
_cell_angle_gamma 90.00
_space_group_name_H-M_alt 'P 1'
_space_group_IT_number 1
loop_
_space_group_symop_operation_xyz
'x,y,z'
loop_
_atom_site_label
_atom_site_type_symbol
_atom_site_fract_x
_atom_site_fract_y
_atom_site_fract_z
Zr1 Zr 0.000 0.000 0.000
Ta1 Ta 0.000 0.500 0.500
Co1 Co 0.000 0.000 0.339
Co2 Co 0.000 0.500 0.827
Co3 Co 0.000 0.500 0.173
Co4 Co 0.000 0.000 0.661
Co5 Co 0.500 0.000 0.500
Co6 Co 0.500 0.500 0.000
Co7 Co 0.500 0.254 0.255
Co8 Co 0.500 0.746 0.745
Co9 Co 0.500 0.746 0.255
Co10 Co 0.500 0.254 0.745
```

**Space group**: Pmmm
**Calculated formation energy**: -27 meV/atom

A plane-wave DFT calculation with PBE-GGA was carried out for a geometry-optimized LaGaPt2 structure.

The structure in CIF format:
```
data_LaGaPt2
_chemical_formula_sum 'La4 Ga4 Pt8'
_cell_length_a 4.297
_cell_length_b 7.332
_cell_length_c 10.713
_cell_angle_alpha 90.00
_cell_angle_beta 90.00
_cell_angle_gamma 90.00
_space_group_name_H-M_alt 'P 1'
_space_group_IT_number 1
loop_
_space_group_symop_operation_xyz
'x,y,z'
loop_
_atom_site_label
_atom_site_type_symbol
_atom_site_fract_x
_atom_site_fract_y
_atom_site_fract_z
La1 La 0.750 0.666 0.359
La2 La 0.750 0.166 0.141
La3 La 0.250 0.334 0.641
La4 La 0.250 0.834 0.859
Ga1 Ga 0.250 0.034 0.395
Ga2 Ga 0.750 0.966 0.605
Ga3 Ga 0.250 0.534 0.105
Ga4 Ga 0.750 0.466 0.895
Pt1 Pt 0.750 0.721 0.060
Pt2 Pt 0.250 0.279 0.940
Pt3 Pt 0.750 0.221 0.440
Pt4 Pt 0.250 0.779 0.560
Pt5 Pt 0.750 0.123 0.812
Pt6 Pt 0.250 0.377 0.312
Pt7 Pt 0.750 0.623 0.688
Pt8 Pt 0.250 0.877 0.188
```

**Space group**: Pnma
**Calculated formation energy**: -1043 meV/atom

A plane-wave DFT calculation with PBE-GGA was carried out for a geometry-optimized TbEuPb structure.

The structure in CIF format:
```
data_TbEuPb
_chemical_formula_sum 'Tb1 Eu1 Pb1'
_cell_length_a 5.361
_cell_length_b 5.361
_cell_length_c 5.361
_cell_angle_alpha 60.00
_cell_angle_beta 60.00
_cell_angle_gamma 60.00
_space_group_name_H-M_alt 'P 1'
_space_group_IT_number 1
loop_
_space_group_symop_operation_xyz
'x,y,z'
loop_
_atom_site_label
_atom_site_type_symbol
_atom_site_fract_x
_atom_site_fract_y
_atom_site_fract_z
Pb1 Pb 0.250 0.250 0.250
Eu1 Eu 0.500 0.500 0.500
Tb1 Tb 0.000 0.000 0.000
```

**Space group**: F-43m
**Calculated formation energy**: -267 meV/atom

A plane-wave DFT calculation with PBE-GGA was carried out for a geometry-optimized BiPIrSN structure.

The structure in CIF format:
```
data_BiPIrSN
_chemical_formula_sum 'Bi3 P3 Ir3 S3 N3'
_cell_length_a 3.688
_cell_length_b 3.688
_cell_length_c 22.143
_cell_angle_alpha 90.00
_cell_angle_beta 90.00
_cell_angle_gamma 120.00
_space_group_name_H-M_alt 'P 1'
_space_group_IT_number 1
loop_
_space_group_symop_operation_xyz
'x,y,z'
loop_
_atom_site_label
_atom_site_type_symbol
_atom_site_fract_x
_atom_site_fract_y
_atom_site_fract_z
Bi1 Bi 0.000 0.000 0.280
Bi2 Bi 0.333 0.667 0.946
Bi3 Bi 0.667 0.333 0.613
P1 P 0.000 0.000 0.486
P2 P 0.333 0.667 0.153
P3 P 0.667 0.333 0.820
Ir1 Ir 0.000 0.000 0.110
Ir2 Ir 0.333 0.667 0.776
Ir3 Ir 0.667 0.333 0.443
S1 S 0.000 0.000 0.713
S2 S 0.333 0.667 0.380
S3 S 0.667 0.333 0.047
N1 N 0.000 0.000 0.565
N2 N 0.333 0.667 0.231
N3 N 0.667 0.333 0.898
```

**Space group**: R3m
**ΔE_f (raw)**: -119 meV/atom
**Excess energy over the best structure of this formula in the dataset**: 34 meV/atom

A plane-wave DFT calculation with PBE-GGA was carried out for a geometry-optimized Hf2AlZnTc structure.

The structure in CIF format:
```
data_Hf2AlZnTc
_chemical_formula_sum 'Hf2 Al1 Zn1 Tc1'
_cell_length_a 4.969
_cell_length_b 4.390
_cell_length_c 4.969
_cell_angle_alpha 90.00
_cell_angle_beta 90.00
_cell_angle_gamma 90.00
_space_group_name_H-M_alt 'P 1'
_space_group_IT_number 1
loop_
_space_group_symop_operation_xyz
'x,y,z'
loop_
_atom_site_label
_atom_site_type_symbol
_atom_site_fract_x
_atom_site_fract_y
_atom_site_fract_z
Zn1 Zn 0.500 0.500 0.500
Hf1 Hf 0.000 0.000 0.500
Hf2 Hf 0.500 0.000 0.000
Tc1 Tc 0.000 0.500 0.000
Al1 Al 0.000 0.000 0.000
```

**Space group**: P4/mmm
**Calculated formation energy**: 851 meV/atom

A plane-wave DFT calculation with PBE-GGA was carried out for a geometry-optimized AlSe2O2 structure.

The structure in CIF format:
```
data_AlSe2O2
_chemical_formula_sum 'Al1 Se2 O2'
_cell_length_a 3.847
_cell_length_b 3.847
_cell_length_c 5.780
_cell_angle_alpha 70.56
_cell_angle_beta 70.56
_cell_angle_gamma 90.00
_space_group_name_H-M_alt 'P 1'
_space_group_IT_number 1
loop_
_space_group_symop_operation_xyz
'x,y,z'
loop_
_atom_site_label
_atom_site_type_symbol
_atom_site_fract_x
_atom_site_fract_y
_atom_site_fract_z
O1 O 0.750 0.250 0.500
O2 O 0.250 0.750 0.500
Al1 Al 0.000 0.000 0.000
Se1 Se 0.370 0.370 0.260
Se2 Se 0.630 0.630 0.740
```

**Space group**: I4/mmm
**ΔE_f (raw)**: 427 meV/atom
**Excess energy over the best structure of this formula in the dataset**: 532 meV/atom

A plane-wave DFT calculation with PBE-GGA was carried out for a geometry-optimized CaZnPBr structure.

The structure in CIF format:
```
data_CaZnPBr
_chemical_formula_sum 'Ca2 Zn2 P2 Br2'
_cell_length_a 4.096
_cell_length_b 4.096
_cell_length_c 14.132
_cell_angle_alpha 81.67
_cell_angle_beta 81.67
_cell_angle_gamma 60.00
_space_group_name_H-M_alt 'P 1'
_space_group_IT_number 1
loop_
_space_group_symop_operation_xyz
'x,y,z'
loop_
_atom_site_label
_atom_site_type_symbol
_atom_site_fract_x
_atom_site_fract_y
_atom_site_fract_z
Ca1 Ca 0.082 0.082 0.755
Ca2 Ca 0.918 0.918 0.245
Zn1 Zn 0.688 0.688 0.935
Zn2 Zn 0.312 0.312 0.065
P1 P 0.628 0.628 0.116
P2 P 0.372 0.372 0.884
Br1 Br 0.788 0.788 0.637
Br2 Br 0.212 0.212 0.363
```

**Space group**: R-3m
**ΔE_f (raw)**: -1189 meV/atom